No. 1
# Y2CO, optimized geometry, DFT GGA-PBE
data_Y2CO
_chemical_formula_sum 'Y4 C2 O2'
_cell_length_a 3.542
_cell_length_b 4.950
_cell_length_c 7.082
_cell_angle_alpha 90.00
_cell_angle_beta 90.00
_cell_angle_gamma 90.00
_symmetry_space_group_name_H-M 'P m m n'
_symmetry_Int_Tables_number 59
loop_
_symmetry_equiv_pos_as_xyz
'x,y,z'
'-x,-y,-z'
'-x+1/2,-y+1/2,z'
'x+1/2,y+1/2,-z'
'x+1/2,-y,-z'
'-x+1/2,y,z'
'-x,y+1/2,-z'
'x,-y+1/2,z'
loop_
_atom_site_label
_atom_site_fract_x
_atom_site_fract_y
_atom_site_fract_z
Y1 0.250 0.250 0.119
Y2 0.250 0.250 0.631
C1 0.250 0.750 0.137
O1 0.250 0.750 0.618
# Raw total energy   -8.4924 eV per atom
# Formation energy without anion corrections   -1.71 eV per atom
# Excess energy over the best structure of this formula in the dataset   10.2 meV/atom

No. 2
# ScMo3As, optimized geometry, DFT GGA-PBE
data_ScMo3As
_chemical_formula_sum 'Sc1 Mo3 As1'
_cell_length_a 4.645
_cell_length_b 4.645
_cell_length_c 4.645
_cell_angle_alpha 90.00
_cell_angle_beta 90.00
_cell_angle_gamma 90.00
_symmetry_space_group_name_H-M 'P m -3 m'
_symmetry_Int_Tables_number 221
_symmetry_space_group_name_Hall '-P 4 2 3'
loop_
_atom_site_label
_atom_site_fract_x
_atom_site_fract_y
_atom_site_fract_z
Sc1 0.000 0.000 0.000
Mo1 0.000 0.500 0.500
As1 0.500 0.500 0.500
# Raw total energy   -7.9438 eV per atom
# E_form   0.75 eV/atom
# Excess energy over the best structure of this formula in the dataset   0.0 meV/atom

No. 3
# Al12Zn6W, optimized geometry, DFT GGA-PBE
data_Al12Zn6W
_chemical_formula_sum 'Al36 Zn18 W3'
_cell_length_a 9.9628
_cell_length_b 9.9628
_cell_length_c 11.0522
_cell_angle_alpha 90.00
_cell_angle_beta 90.00
_cell_angle_gamma 120.00
_symmetry_space_group_name_H-M 'R -3'
_symmetry_Int_Tables_number 148
_symmetry_space_group_name_Hall '-R 3'
loop_
_atom_site_label
_atom_site_fract_x
_atom_site_fract_y
_atom_site_fract_z
Al1 0.0526 0.8665 0.3124
Al2 0.0788 0.2035 0.9058
Zn1 0.0313 0.5960 0.2097
W1 0.0000 0.0000 0.5000
# Raw total energy   -3.3704 eV per atom
# E_form   0.08 eV/atom

No. 4
# TbCuAu, optimized geometry, DFT GGA-PBE
data_TbCuAu
_chemical_formula_sum 'Tb2 Cu2 Au2'
_cell_length_a 4.092
_cell_length_b 4.314
_cell_length_c 7.002
_cell_angle_alpha 90.00
_cell_angle_beta 90.00
_cell_angle_gamma 90.00
_symmetry_space_group_name_H-M 'P m m n'
_symmetry_Int_Tables_number 59
loop_
_symmetry_equiv_pos_as_xyz
'x,y,z'
'-x,-y,-z'
'-x+1/2,-y+1/2,z'
'x+1/2,y+1/2,-z'
'x+1/2,-y,-z'
'-x+1/2,y,z'
'-x,y+1/2,-z'
'x,-y+1/2,z'
loop_
_atom_site_label
_atom_site_fract_x
_atom_site_fract_y
_atom_site_fract_z
Tb1 0.250 0.250 0.180
Cu1 0.250 0.750 0.504
Au1 0.250 0.250 0.746
# Raw total energy   -4.5316 eV per atom
# E_form   -0.53 eV/atom
# Excess energy over the best structure of this formula in the dataset   31.0 meV/atom

No. 5
# AlZn6Ga12, optimized geometry, DFT GGA-PBE
data_AlZn6Ga12
_chemical_formula_sum 'Al1 Zn6 Ga12'
_cell_length_a 7.123
_cell_length_b 7.142
_cell_length_c 7.144
_cell_angle_alpha 98.60
_cell_angle_beta 99.65
_cell_angle_gamma 100.06
_symmetry_space_group_name_H-M 'P -1'
_symmetry_Int_Tables_number 2
_symmetry_space_group_name_Hall '-P 1'
loop_
_atom_site_label
_atom_site_fract_x
_atom_site_fract_y
_atom_site_fract_z
Al1 0.000 0.000 0.000
Zn1 0.130 0.802 0.261
Zn2 0.195 0.738 0.866
Zn3 0.266 0.136 0.807
Ga1 0.057 0.166 0.421
Ga2 0.172 0.426 0.060
Ga3 0.197 0.547 0.469
Ga4 0.423 0.056 0.170
Ga5 0.451 0.532 0.795
Ga6 0.468 0.204 0.546
# Raw total energy   -2.4583 eV per atom
# E_form   0.05 eV/atom
# Excess energy over the best structure of this formula in the dataset   7.4 meV/atom

No. 6
# ScWIN2, optimized geometry, DFT GGA-PBE
data_ScWIN2
_chemical_formula_sum 'Sc1 W1 I1 N2'
_cell_length_a 4.010
_cell_length_b 4.010
_cell_length_c 5.542
_cell_angle_alpha 90.00
_cell_angle_beta 90.00
_cell_angle_gamma 90.00
_symmetry_space_group_name_H-M 'P 4/m m m'
_symmetry_Int_Tables_number 123
_symmetry_space_group_name_Hall '-P 4 2'
loop_
_atom_site_label
_atom_site_fract_x
_atom_site_fract_y
_atom_site_fract_z
Sc1 0.000 0.000 0.000
W1 0.500 0.500 0.500
I1 0.500 0.500 0.000
N1 0.000 0.500 0.500
# Raw total energy   -7.1481 eV per atom
# Formation energy without anion corrections   0.35 eV per atom
# Excess energy over the best structure of this formula in the dataset   0.0 meV/atom

In order of appearance, volume = 15.5 20.0 16.7 20.6 18.3 17.8 Å³/atom.